No. 1
Entry from Alexandria via LeMat-Bulk: a crystal of Fe2CoIr relaxed with PBEsol (SCAN).

abc: 2.7559 4.3023 8.2039
angles: 90.00 90.00 90.00
Space group Cmm2 (No. 35)
Symmetry-distinct sites (fractional):
Fe1 0.0000 0.0000 0.0000 (multiplicity 2)
Fe2 0.0000 0.5000 0.2396 (multiplicity 2)
Co1 0.0000 0.5000 0.7665 (multiplicity 2)
Ir1 0.0000 0.0000 0.5007 (multiplicity 2)


No. 2
Entry from Alexandria via LeMat-Bulk: a crystal of MnTlZn2 relaxed with PBEsol (SCAN).

abc: 3.0141 3.0141 26.8801
angles: 90.00 90.00 120.00
Space group R-3m (No. 166, hexagonal axes)
Symmetry-distinct sites (fractional):
Mn1 0.0000 0.0000 0.0000 (multiplicity 3)
Tl1 0.0000 0.0000 0.5000 (multiplicity 3)
Zn1 0.0000 0.0000 0.2621 (multiplicity 6)


In eV per atom, the E_tot values for the records above are, in order, -31.168 -29.213.
In g/cm3, the density values for the records above are, in order, 12.39 9.19.
In states/eV per cell, the DOS at the Fermi energy values for the records above are, in order, 5.76 5.79.